Material: Nd15Tm4Th
Method: DFT, PBE
State: optimized geometry

abc: 5.152 5.152 25.674
angles: 90.00 90.00 90.00
Space group P4/mmm (No. 123)
Inequivalent atoms, fractional coordinates:
Nd (0.000, 0.000, 0.000)
Nd (0.000, 0.000, 0.203)
Nd (0.000, 0.000, 0.401)
Nd (0.000, 0.500, 0.099)
Nd (0.000, 0.500, 0.300)
Nd (0.000, 0.500, 0.500)
Tm (0.500, 0.500, 0.201)
Tm (0.500, 0.500, 0.400)
Th (0.500, 0.500, 0.000)

Values from the calculation:
crystal system: tetragonal
ΔE_f: 0.0239 eV per atom

Material: KBa3Au2O6
Method: DFT, PBE
State: optimized geometry

abc: 6.4969 6.4969 6.8643
angles: 90.00 90.00 120.00
Space group P-3m1 (No. 164)
Inequivalent atoms, fractional coordinates:
K (0.0000, 0.0000, 0.0000)
Ba (0.0000, 0.0000, 0.5000)
Ba (0.3333, 0.6667, 0.1172)
Au (0.3333, 0.6667, 0.6303)
O (0.1735, 0.3470, 0.7826)

Values from the calculation:
crystal system: trigonal
E_form (uncorrected): -1.107 eV/atom

Material: Ca2IrAu
Method: DFT, PBE
State: optimized geometry

abc: 3.600 3.600 7.780
angles: 90.00 90.00 90.00
Space group P4mm (No. 99)
Inequivalent atoms, fractional coordinates:
Ca (0.000, 0.000, 0.000)
Ca (0.500, 0.500, 0.421)
Ir (0.000, 0.000, 0.618)
Au (0.500, 0.500, 0.805)

Values from the calculation:
crystal system: tetragonal
ΔE_f: -0.1146 eV per atom

Material: ZrTiBr2
Method: DFT, PBE
State: optimized geometry

abc: 3.2857 3.2857 27.6936
angles: 90.00 90.00 120.00
Space group R-3m (No. 166, hexagonal axes)
Inequivalent atoms, fractional coordinates:
Zr (0.0000, 0.0000, 0.0000)
Ti (0.0000, 0.0000, 0.5000)
Br (0.0000, 0.0000, 0.1008)

Values from the calculation:
crystal system: trigonal
E_form (uncorrected): -0.399 eV/atom

Number 1: spin magnetization 0.0 μB/cell. Number 2: spin magnetization 3.1 μB/cell. Number 3: spin magnetization 0.0 μB/cell. Number 4: spin magnetization 0.0 μB/cell.